1.
Computed, not measured: a relaxed structure of BeSiTe at the GGA-PBE level of DFT.

## Properties
Energy relative to the elements, uncorrected   0.0118 eV per atom
Space-group type   Cc
Size of the total moment   0.00 Bohr magnetons per cell
Energy relative to the lowest polymorph listed for this composition   0.061 eV per atom

Cell lengths 5.844, 13.023, 5.459 Å; angles 90.00, 139.76, 90.00 degrees
Atoms (fractional coordinates):
Be 0.623 0.834 0.299
Be 0.123 0.166 0.799
Be 0.623 0.334 0.799
Be 0.123 0.666 0.299
Si 0.939 0.551 0.426
Si 0.439 0.449 0.926
Si 0.939 0.051 0.926
Si 0.439 0.949 0.426
Te 0.719 0.170 0.110
Te 0.219 0.830 0.610
Te 0.719 0.670 0.610
Te 0.219 0.330 0.110


2.
Computed, not measured: a relaxed structure of BaMg2TlHg4 at the GGA-PBE level of DFT.

## Properties
Fermi-level density of states   2.45 states/eV/f.u.
Space-group type   R-3m
Size of the total moment   0.00 Bohr magnetons per cell
ΔH_f (0 K)   -261 meV/atom

Cell lengths 4.950, 4.950, 11.035 Å; angles 77.04, 77.04, 60.00 degrees
Atoms (fractional coordinates):
Ba 0.000 0.000 0.000
Mg 0.765 0.765 0.705
Mg 0.235 0.235 0.295
Tl 0.500 0.500 0.500
Hg 0.396 0.396 0.812
Hg 0.880 0.880 0.359
Hg 0.120 0.120 0.641
Hg 0.604 0.604 0.188


3.
Computed, not measured: a relaxed structure of Er5SnPb2 at the GGA-PBE level of DFT.

## Properties
Fermi-level density of states   5.91 states/eV/f.u.
Space-group type   I4/mcm
Size of the total moment   0.01 Bohr magnetons per cell
ΔH_f (0 K)   -492 meV/atom

Cell lengths 8.209, 8.209, 8.906 Å; angles 117.44, 117.44, 90.00 degrees
Atoms (fractional coordinates):
Er 0.501 0.694 0.694
Er 0.806 0.999 0.306
Er 0.000 0.000 0.000
Er 0.500 0.500 0.000
Er 0.194 0.001 0.694
Er 0.694 0.194 0.694
Er 0.001 0.501 0.694
Er 0.306 0.806 0.306
Er 0.999 0.499 0.306
Er 0.499 0.306 0.306
Sn 0.750 0.750 0.500
Sn 0.250 0.250 0.500
Pb 0.148 0.352 0.000
Pb 0.648 0.148 0.000
Pb 0.352 0.852 0.000
Pb 0.852 0.648 0.000


4.
Computed, not measured: a relaxed structure of LiCu2P at the GGA-PBE level of DFT.

## Properties
Fermi-level density of states   1.89 states/eV/f.u.
Space-group type   P4/nmm
Size of the total moment   0.00 Bohr magnetons per cell
ΔH_f (0 K)   -161 meV/atom

Cell lengths 3.601, 3.601, 8.627 Å; angles 90.00, 90.00, 90.00 degrees
Atoms (fractional coordinates):
Li 0.500 0.000 0.246
Li 0.000 0.500 0.754
Cu 0.500 0.000 0.937
Cu 0.000 0.500 0.063
Cu 0.000 0.000 0.500
Cu 0.500 0.500 0.500
P 0.500 0.000 0.676
P 0.000 0.500 0.324


5.
Computed, not measured: a relaxed structure of LiCaF at the GGA-PBE level of DFT.

## Properties
Fermi-level density of states   1.00 states/eV/f.u.
Energy relative to the elements, uncorrected   -1.7528 eV per atom
Space-group type   P4/mmm
Size of the total moment   0.00 Bohr magnetons per cell
Energy relative to the lowest polymorph listed for this composition   0.000 eV per atom

Cell lengths 5.052, 5.052, 4.275 Å; angles 90.00, 90.00, 90.00 degrees
Atoms (fractional coordinates):
Li 0.500 0.000 0.500
Li 0.000 0.500 0.500
F 0.000 0.500 0.000
F 0.500 0.000 0.000
Ca 0.000 0.000 0.000
Ca 0.500 0.500 0.000


6.
Computed, not measured: a relaxed structure of CaRh2Au at the GGA-PBE level of DFT.

## Properties
Fermi-level density of states   5.88 states/eV/f.u.
Space-group type   Pmmm
Size of the total moment   0.20 Bohr magnetons per cell
ΔH_f (0 K)   8 meV/atom

Cell lengths 2.899, 4.146, 5.931 Å; angles 90.00, 90.00, 90.00 degrees
Each line ends with the local moment (μB).
Atoms (fractional coordinates):
Rh 0.000 0.000 0.025  0.10
Rh 0.000 0.000 0.475  0.10
Ca 0.500 0.500 0.750  0.00
Au 0.500 0.500 0.250  0.01


7.
Computed, not measured: a relaxed structure of La4Pr at the GGA-PBE level of DFT.

## Properties
Fermi-level density of states   10.77 states/eV/f.u.
Space-group type   I4/mmm
Size of the total moment   0.00 Bohr magnetons per cell
ΔH_f (0 K)   14 meV/atom
Energy relative to the lowest polymorph listed for this composition   0.004 eV per atom

Cell lengths 3.715, 3.715, 13.478 Å; angles 97.92, 97.92, 90.00 degrees
Atoms (fractional coordinates):
La 0.600 0.600 0.200
La 0.199 0.199 0.399
La 0.801 0.801 0.601
La 0.400 0.400 0.800
Pr 0.000 0.000 0.000


8.
Computed, not measured: a relaxed structure of Nd2CdF8 at the GGA-PBE level of DFT.

## Properties
Fermi-level density of states   0.00 states/eV/f.u.
Energy relative to the elements, uncorrected   -3.5569 eV per atom
Space-group type   C2/m
Size of the total moment   0.00 Bohr magnetons per cell

Cell lengths 3.823, 5.614, 7.697 Å; angles 109.55, 104.38, 90.00 degrees
Atoms (fractional coordinates):
F 0.595 0.434 0.190
F 0.323 0.039 0.646
F 0.219 0.323 0.439
F 0.038 0.813 0.076
F 0.781 0.677 0.561
F 0.677 0.961 0.354
F 0.405 0.566 0.810
F 0.962 0.187 0.924
Nd 0.174 0.682 0.348
Nd 0.826 0.318 0.652
Cd 0.500 0.000 0.000


9.
Computed, not measured: a relaxed structure of HOsRh2 at the GGA-PBE level of DFT.

## Properties
Fermi-level density of states   7.81 states/eV/f.u.
Space-group type   I-42d
Size of the total moment   0.00 Bohr magnetons per cell
Energy relative to the lowest polymorph listed for this composition   0.339 eV per atom

Cell lengths 5.972, 5.972, 4.983 Å; angles 53.19, 53.19, 90.00 degrees
Atoms (fractional coordinates):
Rh 0.521 0.125 0.250
Rh 0.229 0.625 0.250
Rh 0.375 0.479 0.750
Rh 0.875 0.771 0.750
Os 0.000 0.000 0.000
Os 0.750 0.250 0.500
H 0.500 0.500 0.000
H 0.250 0.750 0.500


10.
Computed, not measured: a relaxed structure of LaAsSBr2 at the GGA-PBE level of DFT.

## Properties
Fermi-level density of states   2.58 states/eV/f.u.
Energy relative to the elements, uncorrected   -0.2380 eV per atom
Space-group type   P4/mmm
Size of the total moment   2.34 Bohr magnetons per cell
Energy relative to the lowest polymorph listed for this composition   0.105 eV per atom

Cell lengths 5.704, 5.704, 6.297 Å; angles 90.00, 90.00, 90.00 degrees
Each line ends with the local moment (μB).
Atoms (fractional coordinates):
As 0.000 0.000 0.500  0.60
S 0.500 0.500 0.500  0.48
Br 0.000 0.500 0.000  0.03
Br 0.500 0.000 0.000  0.03
La 0.000 0.000 0.000  0.03


11.
Computed, not measured: a relaxed structure of ZnAs2W at the GGA-PBE level of DFT.

## Properties
Fermi-level density of states   1.83 states/eV/f.u.
Space-group type   Immm
Size of the total moment   0.00 Bohr magnetons per cell
ΔH_f (0 K)   364 meV/atom

Cell lengths 4.836, 4.836, 4.836 Å; angles 136.50, 121.86, 75.33 degrees
Atoms (fractional coordinates):
As 0.018 0.018 0.000
As 0.482 0.482 0.000
W 0.750 0.250 0.500
Zn 0.250 0.750 0.500


12.
Computed, not measured: a relaxed structure of In2SbHS at the GGA-PBE level of DFT.

## Properties
Fermi-level density of states   2.19 states/eV/f.u.
Raw total energy   -3.129 eV/atom
Space-group type   P4/mmm
Size of the total moment   0.00 Bohr magnetons per cell

Cell lengths 5.137, 4.092, 5.137 Å; angles 90.00, 90.00, 90.00 degrees
Atoms (fractional coordinates):
Sb 0.000 0.500 0.000
S 0.500 0.500 0.500
H 0.000 0.000 0.000
In 0.000 0.000 0.500
In 0.500 0.000 0.000


13.
Computed, not measured: a relaxed structure of Tb2IrI at the GGA-PBE level of DFT.

## Properties
Fermi-level density of states   0.46 states/eV/f.u.
Energy relative to the elements, uncorrected   -0.9701 eV per atom
Space-group type   R3m
Size of the total moment   0.00 Bohr magnetons per cell
Energy relative to the lowest polymorph listed for this composition   0.014 eV per atom

Cell lengths 4.139, 4.139, 8.267 Å; angles 75.50, 75.50, 60.00 degrees
Atoms (fractional coordinates):
Tb 0.060 0.060 0.819
Tb 0.274 0.274 0.177
Ir 0.667 0.667 0.999
I 0.498 0.498 0.506


14.
Computed, not measured: a relaxed structure of ZrZn2In at the GGA-PBE level of DFT.

## Properties
Fermi-level density of states   2.68 states/eV/f.u.
Space-group type   F-43m
Size of the total moment   0.00 Bohr magnetons per cell
ΔH_f (0 K)   71 meV/atom

Cell lengths 4.770, 4.770, 4.770 Å; angles 60.00, 60.00, 60.00 degrees
Atoms (fractional coordinates):
In 0.500 0.500 0.500
Zn 0.000 0.000 0.000
Zn 0.250 0.250 0.250
Zr 0.750 0.750 0.750


15.
Computed, not measured: a relaxed structure of EuThSb2 at the GGA-PBE level of DFT.

## Properties
Fermi-level density of states   3.26 states/eV/f.u.
Energy relative to the elements, uncorrected   -0.7970 eV per atom
Space-group type   Fm-3m
Size of the total moment   7.04 Bohr magnetons per cell
Energy relative to the lowest polymorph listed for this composition   0.234 eV per atom

Cell lengths 5.515, 5.515, 5.515 Å; angles 60.00, 60.00, 60.00 degrees
Each line ends with the local moment (μB).
Atoms (fractional coordinates):
Eu 0.000 0.000 0.000  6.81
Sb 0.250 0.250 0.250  -0.05
Sb 0.750 0.750 0.750  -0.05
Th 0.500 0.500 0.500  0.06


16.
Computed, not measured: a relaxed structure of NaHoTlHg at the GGA-PBE level of DFT.

## Properties
Fermi-level density of states   2.08 states/eV/f.u.
Space-group type   P4mm
Size of the total moment   0.00 Bohr magnetons per cell
ΔH_f (0 K)   -267 meV/atom
Energy relative to the lowest polymorph listed for this composition   0.003 eV per atom

Cell lengths 3.740, 3.740, 7.537 Å; angles 90.00, 90.00, 90.00 degrees
Atoms (fractional coordinates):
Na 0.000 0.000 0.851
Ho 0.000 0.000 0.369
Tl 0.500 0.500 0.109
Hg 0.500 0.500 0.599


17.
Computed, not measured: a relaxed structure of HfHg3Pd at the GGA-PBE level of DFT.

## Properties
Fermi-level density of states   6.16 states/eV/f.u.
Space-group type   Pm-3m
Size of the total moment   0.00 Bohr magnetons per cell
ΔH_f (0 K)   670 meV/atom
Energy relative to the lowest polymorph listed for this composition   0.000 eV per atom

Cell lengths 5.066, 5.066, 5.066 Å; angles 90.00, 90.00, 90.00 degrees
Atoms (fractional coordinates):
Hf 0.500 0.500 0.500
Hg 0.000 0.500 0.000
Hg 0.000 0.000 0.500
Hg 0.500 0.000 0.000
Pd 0.000 0.000 0.000


18.
Computed, not measured: a relaxed structure of Ti2Cu2Pb at the GGA-PBE level of DFT.

## Properties
Fermi-level density of states   3.02 states/eV/f.u.
Space-group type   I4/mmm
Size of the total moment   0.00 Bohr magnetons per cell
ΔH_f (0 K)   255 meV/atom

Cell lengths 3.334, 3.334, 8.364 Å; angles 78.50, 78.50, 90.00 degrees
Atoms (fractional coordinates):
Pb 0.000 0.000 0.000
Cu 0.750 0.250 0.500
Cu 0.250 0.750 0.500
Ti 0.380 0.380 0.240
Ti 0.620 0.620 0.760


19.
Computed, not measured: a relaxed structure of Be2CdIr at the GGA-PBE level of DFT.

## Properties
Fermi-level density of states   1.59 states/eV/f.u.
Space-group type   P4/mmm
Size of the total moment   0.00 Bohr magnetons per cell
ΔH_f (0 K)   -47 meV/atom

Cell lengths 4.109, 4.109, 2.938 Å; angles 90.00, 90.00, 90.00 degrees
Atoms (fractional coordinates):
Be 0.000 0.000 0.000
Be 0.500 0.500 0.000
Ir 0.000 0.500 0.500
Cd 0.500 0.000 0.500


20.
Computed, not measured: a relaxed structure of BaSr2BeBi at the GGA-PBE level of DFT.

## Properties
Fermi-level density of states   7.26 states/eV/f.u.
Space-group type   P4/mmm
Size of the total moment   0.82 Bohr magnetons per cell
ΔH_f (0 K)   977 meV/atom

Cell lengths 6.419, 5.019, 6.419 Å; angles 90.00, 90.00, 90.00 degrees
Each line ends with the local moment (μB).
Atoms (fractional coordinates):
Sr 0.000 0.000 0.500  0.09
Sr 0.500 0.000 0.000  0.04
Be 0.000 0.500 0.000  0.05
Bi 0.500 0.500 0.500  -0.02
Ba 0.000 0.000 0.000  0.24


21.
Computed, not measured: a relaxed structure of BeFeAu at the GGA-PBE level of DFT.

## Properties
Fermi-level density of states   1.74 states/eV/f.u.
Space-group type   P-6m2
Size of the total moment   2.75 Bohr magnetons per cell
ΔH_f (0 K)   120 meV/atom
Energy relative to the lowest polymorph listed for this composition   0.089 eV per atom

Cell lengths 4.051, 4.051, 2.802 Å; angles 90.00, 90.00, 120.00 degrees
Each line ends with the local moment (μB).
Atoms (fractional coordinates):
Be 0.333 0.667 0.166  -0.07
Au 0.000 0.000 0.167  0.02
Fe 0.667 0.333 0.667  2.84


22.
Computed, not measured: a relaxed structure of BaRe2As at the GGA-PBE level of DFT.

## Properties
Fermi-level density of states   4.85 states/eV/f.u.
Space-group type   Pmmm
Size of the total moment   0.00 Bohr magnetons per cell
ΔH_f (0 K)   1268 meV/atom

Cell lengths 2.880, 5.085, 5.725 Å; angles 90.00, 90.00, 90.00 degrees
Atoms (fractional coordinates):
Re 0.000 0.000 0.000
Re 0.500 0.500 0.000
As 0.500 0.000 0.500
Ba 0.000 0.500 0.500


23.
Computed, not measured: a relaxed structure of SiAsO at the GGA-PBE level of DFT.

## Properties
Energy relative to the elements, uncorrected   -1.1048 eV per atom
Space-group type   C2/m
Size of the total moment   0.00 Bohr magnetons per cell
Energy relative to the lowest polymorph listed for this composition   0.000 eV per atom

Cell lengths 4.306, 5.916, 5.914 Å; angles 125.34, 81.77, 98.22 degrees
Atoms (fractional coordinates):
O 0.873 0.593 0.907
O 0.127 0.407 0.093
Si 0.000 0.723 0.223
Si 0.000 0.277 0.777
As 0.606 0.893 0.607
As 0.394 0.107 0.393


24.
Computed, not measured: a relaxed structure of LaSnRh2C at the GGA-PBE level of DFT.

## Properties
Fermi-level density of states   2.78 states/eV/f.u.
Space-group type   P4/mmm
Size of the total moment   0.00 Bohr magnetons per cell
ΔH_f (0 K)   748 meV/atom

Cell lengths 5.008, 4.259, 5.008 Å; angles 90.00, 90.00, 90.00 degrees
Atoms (fractional coordinates):
C 0.000 0.500 0.000
Rh 0.000 0.000 0.500
Rh 0.500 0.000 0.000
Sn 0.000 0.000 0.000
La 0.500 0.500 0.500


25.
Computed, not measured: a relaxed structure of Ce2MgTl6 at the GGA-PBE level of DFT.

## Properties
Fermi-level density of states   15.95 states/eV/f.u.
Space-group type   Cmmm
Size of the total moment   2.47 Bohr magnetons per cell
ΔH_f (0 K)   -44 meV/atom

Cell lengths 3.458, 8.863, 9.599 Å; angles 117.50, 89.96, 90.00 degrees
Each line ends with the local moment (μB).
Atoms (fractional coordinates):
Ce 0.500 0.688 0.377  1.01
Ce 0.500 0.312 0.623  1.01
Mg 0.000 0.000 0.000  0.00
Tl 0.000 0.336 0.316  0.00
Tl 0.000 0.020 0.684  0.00
Tl 0.000 0.664 0.684  0.00
Tl 0.500 0.316 0.000  -0.01
Tl 0.000 0.980 0.316  0.00
Tl 0.500 0.684 0.000  -0.01


26.
Computed, not measured: a relaxed structure of LaNdCoNi at the GGA-PBE level of DFT.

## Properties
Fermi-level density of states   2.96 states/eV/f.u.
Space-group type   Amm2
Size of the total moment   0.00 Bohr magnetons per cell
ΔH_f (0 K)   -190 meV/atom
Energy relative to the lowest polymorph listed for this composition   0.000 eV per atom

Cell lengths 3.927, 3.988, 5.981 Å; angles 90.00, 109.16, 90.00 degrees
Atoms (fractional coordinates):
La 0.864 0.500 0.729
Nd 0.139 0.000 0.279
Co 0.430 0.000 0.859
Ni 0.567 0.500 0.133


27.
Computed, not measured: a relaxed structure of ZrAl2Mo at the GGA-PBE level of DFT.

## Properties
Fermi-level density of states   3.17 states/eV/f.u.
Space-group type   R3m
Size of the total moment   0.00 Bohr magnetons per cell
ΔH_f (0 K)   54 meV/atom
Energy relative to the lowest polymorph listed for this composition   0.324 eV per atom

Cell lengths 9.732, 9.732, 9.732 Å; angles 17.30, 17.30, 17.30 degrees
Atoms (fractional coordinates):
Mo 0.507 0.507 0.507
Al 0.995 0.995 0.995
Al 0.249 0.249 0.249
Zr 0.749 0.749 0.749